DFT (PBEsol) results for crystalline BeCu3 at its relaxed geometry.

```
BeCu3
1.0
5.5251 0.0000 0.0000
0.0000 5.5251 0.0000
0.0000 0.0000 5.5251
Be Cu
4 12
Direct
0.0000 0.0000 0.0000 Be
0.0000 0.5000 0.5000 Be
0.5000 0.0000 0.5000 Be
0.5000 0.5000 0.0000 Be
0.0000 0.0000 0.5000 Cu
0.0000 0.5000 0.0000 Cu
0.2500 0.2500 0.2500 Cu
0.2500 0.2500 0.7500 Cu
0.2500 0.7500 0.2500 Cu
0.2500 0.7500 0.7500 Cu
0.5000 0.0000 0.0000 Cu
0.5000 0.5000 0.5000 Cu
0.7500 0.2500 0.2500 Cu
0.7500 0.2500 0.7500 Cu
0.7500 0.7500 0.2500 Cu
0.7500 0.7500 0.7500 Cu
```

## Properties
- Theoretical density: 7863 kg/m3
- ΔH_f (0 K): -0.003 eV per atom
- Fermi-level density of states: 5.12 states/eV/cell
- Uncorrected energy: -4.25 eV/atom
- Size of the total moment: 0.000 μB per formula unit